First-principles (PBE-GGA) data for a relaxed NiPb2Au crystal, as listed in Alexandria via LeMat-Bulk.

The structure in extended XYZ format:
```
4
Lattice="3.350 0.000 0.000 0.000 3.350 0.000 0.000 0.000 8.092" Properties=species:S:1:pos:R:3 pbc="T T T"
Pb 0.000 0.000 7.457
Pb 1.675 1.675 2.510
Ni 1.675 1.675 5.807
Au 0.000 0.000 4.456
```

As for the total energy: -4.0380 eV per atom. The value obtained for the density of states at the Fermi level is 2.1 states/eV per cell. For the polymorph energy (0 for the lowest one), the calculation gives 0.09 eV per formula unit. The energy of formation is 81 meV per atom. The total magnetic moment is 0.0 μB per formula unit.

***

First-principles (PBE-GGA) data for a relaxed Na2CaFeCl6 crystal, as listed in Alexandria via LeMat-Bulk.

The structure in extended XYZ format:
```
10
Lattice="-2.341 2.426 -5.982 -6.758 0.265 -1.190 -3.225 6.465 -0.059" Properties=species:S:1:pos:R:3 pbc="T T T"
Ca -9.203 5.709 -5.908
Cl -4.812 6.696 -4.261
Cl -5.692 5.381 -1.195
Cl -6.964 4.132 -6.478
Cl -3.553 3.086 -3.700
Cl -8.139 6.249 -3.467
Cl -7.826 2.392 -2.396
Na -6.147 4.150 -3.795
Na -3.212 6.076 -0.222
Fe -3.040 1.095 -2.308
```

As for the total energy: -4.0284 eV per atom. The value obtained for the density of states at the Fermi level is 6.7 states/eV per cell. The calculation puts the uncorrected formation energy at -1.610 eV per atom. The total magnetic moment is 4.0 μB per formula unit.

***

First-principles (PBE-GGA) data for a relaxed Gd3PaH crystal, as listed in Alexandria via LeMat-Bulk.

The structure in extended XYZ format:
```
5
Lattice="4.913 0.000 0.000 0.000 4.913 0.000 0.000 0.000 4.913" Properties=species:S:1:pos:R:3 pbc="T T T"
Gd 0.000 2.457 0.000
Gd 2.457 0.000 0.000
Gd 0.000 0.000 2.457
H 0.000 0.000 0.000
Pa 2.457 2.457 2.457
```

As for the total energy: -11.0001 eV per atom. The value obtained for the density of states at the Fermi level is 6.8 states/eV per cell. The total magnetic moment is 19.9 μB per formula unit.

***

First-principles (PBE-GGA) data for a relaxed HoTiBi crystal, as listed in Alexandria via LeMat-Bulk.

The structure in extended XYZ format:
```
6
Lattice="-2.610 2.427 -2.353 -3.167 -0.717 2.774 2.227 6.484 4.217" Properties=species:S:1:pos:R:3 pbc="T T T"
Ho 0.299 5.122 4.951
Ho -0.960 2.217 -0.523
Bi -1.036 1.234 2.423
Bi 0.375 6.105 2.004
Ti 1.113 3.242 2.108
Ti -1.775 4.097 2.319
```

As for the total energy: -5.8905 eV per atom. The value obtained for the density of states at the Fermi level is 6.1 states/eV per cell. The energy of formation is -439 meV per atom. The total magnetic moment is 0.0 μB per formula unit.

***

First-principles (PBE-GGA) data for a relaxed ScCd2Pd2 crystal, as listed in Alexandria via LeMat-Bulk.

The structure in extended XYZ format:
```
5
Lattice="4.022 0.000 0.000 0.000 4.022 0.000 2.011 2.011 6.300" Properties=species:S:1:pos:R:3 pbc="T T T"
Cd 2.011 2.011 1.349
Cd 4.022 4.022 4.951
Pd 4.022 2.011 3.150
Pd 2.011 4.022 3.150
Sc 0.000 0.000 0.000
```

As for the total energy: -3.8811 eV per atom. The value obtained for the density of states at the Fermi level is 3.5 states/eV per cell. For the polymorph energy (0 for the lowest one), the calculation gives 1.76 eV per formula unit. The energy of formation is -172 meV per atom. The total magnetic moment is 0.0 μB per formula unit.

***

First-principles (PBE-GGA) data for a relaxed Pu5Pa3S8 crystal, as listed in Alexandria via LeMat-Bulk.

The structure in extended XYZ format:
```
16
Lattice="6.777 0.000 3.882 2.277 6.383 3.882 0.000 0.000 7.857" Properties=species:S:1:pos:R:3 pbc="T T T"
Pa 3.388 0.000 5.870
Pa 1.138 3.191 5.870
Pa 0.000 0.000 3.929
Pu 0.000 0.000 0.000
Pu 4.527 3.191 7.811
Pu 3.389 0.000 1.941
Pu 4.527 3.192 3.882
Pu 1.138 3.192 1.941
S 3.398 4.778 9.781
S 5.642 1.596 9.781
S 5.655 1.605 5.841
S 6.790 4.787 7.776
S 2.272 1.602 3.890
S 3.411 4.787 5.841
S 6.781 4.781 11.731
S 2.263 1.596 7.845
```

As for the total energy: -10.0149 eV per atom. The value obtained for the density of states at the Fermi level is 40.8 states/eV per cell. The calculation puts the uncorrected formation energy at -1.692 eV per atom. The total magnetic moment is 26.7 μB per formula unit.

***

First-principles (PBE-GGA) data for a relaxed Ba8CdPdPt2 crystal, as listed in Alexandria via LeMat-Bulk.

The structure in extended XYZ format:
```
12
Lattice="-1.563 1.935 -7.413 6.395 -3.383 -2.344 -4.807 -8.287 -1.150" Properties=species:S:1:pos:R:3 pbc="T T T"
Ba -3.559 -8.586 -4.209
Ba -0.875 -1.143 -6.885
Ba -1.097 -4.453 -3.803
Ba 0.901 -8.591 -4.023
Ba 3.585 -1.149 -6.699
Ba -3.451 -5.585 -7.501
Ba 1.122 -5.282 -7.105
Ba 3.477 -4.150 -3.406
Pt 1.236 -2.759 -5.161
Pt -1.210 -6.976 -5.746
Pd 0.000 0.000 0.000
Cd -2.404 -4.144 -0.575
```

As for the total energy: -3.2485 eV per atom. The value obtained for the density of states at the Fermi level is 7.2 states/eV per cell. The energy of formation is -451 meV per atom. The total magnetic moment is 0.0 μB per formula unit.

***

First-principles (PBE-GGA) data for a relaxed ErTlInPd crystal, as listed in Alexandria via LeMat-Bulk.

The structure in extended XYZ format:
```
4
Lattice="-3.422 1.517 -3.348 -4.357 -2.461 -0.429 -4.262 2.148 1.563" Properties=species:S:1:pos:R:3 pbc="T T T"
Er -3.010 0.301 -0.554
Pd 0.000 0.000 0.000
Tl -6.020 0.602 -1.107
In -9.031 0.903 -1.661
```

As for the total energy: -4.1238 eV per atom. The value obtained for the density of states at the Fermi level is 2.6 states/eV per cell. The energy of formation is -409 meV per atom. The total magnetic moment is 0.0 μB per formula unit.